The following is a GGA-PBE calculation of an optimized crystal structure of CeTmCdCo, from Alexandria.

Cell: 5.0451 5.0451 5.0451 Å, 60.00 60.00 60.00°
Positions (direct):
1 Ce 0.0000 0.0000 0.0000
2 Tm 0.5000 0.5000 0.5000
3 Cd 0.7500 0.7500 0.7500
4 Co 0.2500 0.2500 0.2500

Properties
DFT formation energy	-0.21	eV/f.u.



The following is a GGA-PBE calculation of an optimized crystal structure of Nd4HgIr, from Alexandria.

Cell: 7.5103 7.2691 7.2281 Å, 90.00 93.40 90.00°
Positions (direct):
1 Nd 0.1437 0.1586 0.1787
2 Nd 0.1437 0.3414 0.6787
3 Nd 0.3213 0.6463 0.1277
4 Nd 0.3213 0.8537 0.6277
5 Nd 0.6787 0.1463 0.3723
6 Nd 0.6787 0.3537 0.8723
7 Nd 0.8563 0.6586 0.3213
8 Nd 0.8563 0.8414 0.8213
9 Hg 0.5000 0.0000 0.0000
10 Hg 0.5000 0.5000 0.5000
11 Ir 0.0000 0.0000 0.5000
12 Ir 0.0000 0.5000 0.0000

Properties
energy above the most stable polymorph in this dataset	156.2	meV per atom
DFT formation energy	-1.98	eV/f.u.



The following is a GGA-PBE calculation of an optimized crystal structure of SbWAu3, from Alexandria.

Cell: 5.0555 5.0555 5.0555 Å, 90.00 90.00 90.00°
Positions (direct):
1 Sb 0.0000 0.0000 0.0000
2 W 0.5000 0.5000 0.5000
3 Au 0.0000 0.5000 0.5000
4 Au 0.5000 0.0000 0.5000
5 Au 0.5000 0.5000 0.0000

Properties
energy above the most stable polymorph in this dataset	0.0	meV per atom



The following is a GGA-PBE calculation of an optimized crystal structure of RbNa2NpCl8, from Alexandria.

Cell: 5.8705 7.6031 10.4455 Å, 111.17 98.91 92.51°
Positions (direct):
1 Rb 0.0000 0.0000 0.0000
2 Na 0.4462 0.3572 0.8222
3 Na 0.5538 0.6428 0.1778
4 Np 0.0000 0.0000 0.5000
5 Cl 0.1344 0.7936 0.2755
6 Cl 0.2672 0.2866 0.5315
7 Cl 0.2948 0.9082 0.6564
8 Cl 0.4970 0.7287 0.9516
9 Cl 0.5030 0.2713 0.0484
10 Cl 0.7052 0.0918 0.3436
11 Cl 0.7328 0.7134 0.4685
12 Cl 0.8656 0.2064 0.7245

Properties
VASP energy	-4.23	eV per atom



Copy entry 2 word for word.
The following is a GGA-PBE calculation of an optimized crystal structure of Nd4HgIr, from Alexandria.

Cell: 7.5103 7.2691 7.2281 Å, 90.00 93.40 90.00°
Positions (direct):
1 Nd 0.1437 0.1586 0.1787
2 Nd 0.1437 0.3414 0.6787
3 Nd 0.3213 0.6463 0.1277
4 Nd 0.3213 0.8537 0.6277
5 Nd 0.6787 0.1463 0.3723
6 Nd 0.6787 0.3537 0.8723
7 Nd 0.8563 0.6586 0.3213
8 Nd 0.8563 0.8414 0.8213
9 Hg 0.5000 0.0000 0.0000
10 Hg 0.5000 0.5000 0.5000
11 Ir 0.0000 0.0000 0.5000
12 Ir 0.0000 0.5000 0.0000

Properties
energy above the most stable polymorph in this dataset	156.2	meV per atom
DFT formation energy	-1.98	eV/f.u.